Ag3As: relaxed, GGA-PBE.

Cell lengths 7.5584, 8.0099, 5.1259 Å; angles 90.00, 90.00, 90.00 degrees
Closest atoms and distances in Å follow each position.
Element x y z (fractional)
1 Ag 0.0417 0.2500 0.0902  3 As 2.75-2.83, 4 Ag 3.01-3.04
2 Ag 0.2026 0.0642 0.5417  3 As 2.69-2.84, 4 Ag 2.85-3.01
3 Ag 0.2026 0.4358 0.5417  3 As 2.69-2.84, 4 Ag 2.85-3.01
4 Ag 0.2974 0.5642 0.0417  3 As 2.69-2.84, 4 Ag 2.85-3.01
5 Ag 0.2974 0.9358 0.0417  3 As 2.69-2.84, 4 Ag 2.85-3.01
6 Ag 0.4583 0.7500 0.5902  3 As 2.75-2.83, 4 Ag 3.01-3.04
7 Ag 0.5417 0.2500 0.4098  3 As 2.75-2.83, 4 Ag 3.01-3.04
8 Ag 0.7026 0.0642 0.9583  3 As 2.69-2.84, 4 Ag 2.85-3.01
9 Ag 0.7026 0.4358 0.9583  3 As 2.69-2.84, 4 Ag 2.85-3.01
10 Ag 0.7974 0.5642 0.4583  3 As 2.69-2.84, 4 Ag 2.85-3.01
11 Ag 0.7974 0.9358 0.4583  3 As 2.69-2.84, 4 Ag 2.85-3.01
12 Ag 0.9583 0.7500 0.9098  3 As 2.75-2.83, 4 Ag 3.01-3.04
13 As 0.1156 0.7500 0.4086  9 Ag 2.69-2.84
14 As 0.3844 0.2500 0.9086  9 Ag 2.69-2.84
15 As 0.6156 0.7500 0.0914  9 Ag 2.69-2.84
16 As 0.8844 0.2500 0.5914  9 Ag 2.69-2.84

Results
V: 77.58 Å³/f.u.
Total magnetization: 0.000 μB/cell
Density: 8.53 g/cm3
Energy of formation: 0.107 eV per atom
N(E_F): 1.6 states/eV/cell
Final energy: -3.1937 eV per atom

---

SrLa2SiCl: relaxed, GGA-PBE.

Cell lengths 5.5513, 5.5513, 7.5570 Å; angles 90.00, 90.00, 90.00 degrees
Closest atoms and distances in Å follow each position.
Element x y z (fractional)
1 Sr 0.0000 0.0000 0.0000  4 Cl 3.93
2 La 0.0000 0.5000 0.5000  2 Si 2.78
3 La 0.5000 0.0000 0.5000  2 Si 2.78
4 Si 0.5000 0.5000 0.5000  4 La 2.78
5 Cl 0.5000 0.5000 0.0000  2 Si 3.78, 4 Sr 3.93

Results
V: 232.89 Å³/f.u.
Total magnetization: 0.000 μB/cell
Density: 3.06 g/cm3
N(E_F): 6.3 states/eV/cell
Final energy: -3.8321 eV per atom

---

LiAc3Ir2: relaxed, GGA-PBE.

Cell lengths 8.5894, 8.5894, 8.5894 Å; angles 131.18, 74.95, 126.96 degrees
Closest atoms and distances in Å follow each position.
Element x y z (fractional)
1 Li 0.0000 0.0000 0.0000  2 Ir 2.81
2 Li 0.5000 0.5000 0.0000  2 Ir 2.81
3 Ac 0.0354 0.2500 0.7854  4 Ir 3.00-3.14
4 Ac 0.2500 0.7500 0.5000  4 Ir 3.08
5 Ac 0.4646 0.2500 0.2146  4 Ir 3.00-3.14
6 Ac 0.5354 0.7500 0.7854  4 Ir 3.00-3.14
7 Ac 0.7500 0.2500 0.5000  4 Ir 3.08
8 Ac 0.9646 0.7500 0.2146  4 Ir 3.00-3.14
9 Ir 0.1393 0.7089 0.8481  1 Li 2.81, 6 Ac 3.00-3.14
10 Ir 0.3607 0.2089 0.5696  1 Li 2.81, 6 Ac 3.00-3.14
11 Ir 0.6393 0.7911 0.4304  1 Li 2.81, 6 Ac 3.00-3.14
12 Ir 0.8607 0.2911 0.1519  1 Li 2.81, 6 Ac 3.00-3.14

Results
V: 185.60 Å³/f.u.
Total magnetization: 0.000 μB/cell
Density: 9.59 g/cm3
Energy of formation: -0.481 eV per atom
N(E_F): 5.2 states/eV/cell
Final energy: -5.8083 eV per atom

---

Mg4SnS6: relaxed, GGA-PBE.

Cell lengths 6.9875, 6.9875, 12.6066 Å; angles 104.87, 104.87, 62.17 degrees
Closest atoms and distances in Å follow each position.
Element x y z (fractional)
1 Mg 0.0403 0.9597 0.5000  5 S 2.51-2.72
2 Mg 0.2347 0.4604 0.9605  4 S 2.46-2.58
3 Mg 0.4192 0.8965 0.8191  4 S 2.48-2.60
4 Mg 0.4604 0.2347 0.4605  4 S 2.46-2.58
5 Mg 0.6405 0.9877 0.1648  4 S 2.51-2.65
6 Mg 0.8965 0.4192 0.3191  4 S 2.48-2.60
7 Mg 0.9597 0.0403 0.0000  5 S 2.51-2.72
8 Mg 0.9877 0.6405 0.6648  4 S 2.51-2.65
9 Sn 0.3035 0.8439 0.2411  4 S 2.36-2.43
10 Sn 0.8439 0.3035 0.7411  4 S 2.36-2.43
11 S 0.0408 0.7305 0.1180  1 Sn 2.38, 2 Mg 2.53-2.65
12 S 0.1100 0.5597 0.4815  4 Mg 2.46-2.56
13 S 0.1786 0.7453 0.8530  4 Mg 2.52-2.56
14 S 0.1814 0.1949 0.1846  1 Sn 2.43, 1 Mg 2.60
15 S 0.1949 0.1814 0.6846  1 Sn 2.43, 1 Mg 2.60
16 S 0.3807 0.8996 0.4371  1 Sn 2.36, 2 Mg 2.51-2.58
17 S 0.5597 0.1100 0.9815  4 Mg 2.46-2.56
18 S 0.6306 0.6416 0.6702  1 Sn 2.39, 2 Mg 2.48-2.51
19 S 0.6416 0.6306 0.1702  1 Sn 2.39, 2 Mg 2.48-2.51
20 S 0.7305 0.0408 0.6180  1 Sn 2.38, 2 Mg 2.53-2.65
21 S 0.7453 0.1786 0.3530  4 Mg 2.52-2.56
22 S 0.8996 0.3807 0.9371  1 Sn 2.36, 2 Mg 2.51-2.58

Results
V: 259.65 Å³/f.u.
Total magnetization: 0.000 μB/cell
Density: 2.61 g/cm3
N(E_F): 0.0 states/eV/cell
Final energy: -4.2497 eV per atom

---

PrSm10Tm6: relaxed, GGA-PBE.

Cell lengths 9.7545, 9.7545, 6.8541 Å; angles 90.00, 90.00, 120.00 degrees
Closest atoms and distances in Å follow each position.
Element x y z (fractional)
1 Pr 0.0000 0.0000 0.0000  6 Sm 3.50, 6 Tm 3.84
2 Sm 0.0000 0.2791 0.6797  5 Tm 3.39-3.60, 1 Pr 3.50, 4 Sm 3.67-3.75
3 Sm 0.0000 0.7209 0.3203  5 Tm 3.39-3.60, 1 Pr 3.50, 4 Sm 3.67-3.75
4 Sm 0.2791 0.0000 0.6797  5 Tm 3.39-3.60, 1 Pr 3.50, 4 Sm 3.67-3.75
5 Sm 0.2791 0.2791 0.3203  5 Tm 3.39-3.60, 1 Pr 3.50, 4 Sm 3.67-3.75
6 Sm 0.3333 0.6667 0.0000  6 Tm 3.34, 2 Sm 3.43
7 Sm 0.3333 0.6667 0.5000  8 Sm 3.43-3.75, 6 Tm 3.75
8 Sm 0.6667 0.3333 0.0000  6 Tm 3.34, 2 Sm 3.43
9 Sm 0.6667 0.3333 0.5000  8 Sm 3.43-3.75, 6 Tm 3.75
10 Sm 0.7209 0.0000 0.3203  5 Tm 3.39-3.60, 1 Pr 3.50, 4 Sm 3.67-3.75
11 Sm 0.7209 0.7209 0.6797  5 Tm 3.39-3.60, 1 Pr 3.50, 4 Sm 3.67-3.75
12 Tm 0.0000 0.3710 0.1884  7 Sm 3.34-3.60, 1 Tm 3.61
13 Tm 0.0000 0.6290 0.8116  7 Sm 3.34-3.60, 1 Tm 3.61
14 Tm 0.3710 0.0000 0.1884  7 Sm 3.34-3.60, 1 Tm 3.61
15 Tm 0.3710 0.3710 0.8116  7 Sm 3.34-3.60, 1 Tm 3.61
16 Tm 0.6290 0.0000 0.8116  7 Sm 3.34-3.60, 1 Tm 3.61
17 Tm 0.6290 0.6290 0.1884  7 Sm 3.34-3.60, 1 Tm 3.61

Results
V: 564.79 Å³/f.u.
Total magnetization: 0.000 μB/cell
Density: 7.82 g/cm3
Energy of formation: 0.135 eV per atom
N(E_F): 26.1 states/eV/cell
Final energy: -4.5000 eV per atom

---

Y2ErZrP4: relaxed, GGA-PBE.

Cell lengths 6.7953, 3.9198, 6.7994 Å; angles 90.00, 109.28, 90.00 degrees
Closest atoms and distances in Å follow each position.
Element x y z (fractional)
1 Y 0.0000 0.0000 0.0000  6 P 2.84
2 Y 0.5000 0.5000 0.0000  6 P 2.78-2.79
3 Er 0.0000 0.5000 0.5000  6 P 2.76-2.77
4 Zr 0.5000 0.0000 0.5000  6 P 2.71-2.72
5 P 0.2539 0.0000 0.7420  1 Zr 2.71, 2 Er 2.77, 3 Y 2.79-2.84
6 P 0.2598 0.5000 0.2618  2 Zr 2.72, 1 Er 2.76, 3 Y 2.78-2.84
7 P 0.7402 0.5000 0.7382  2 Zr 2.72, 1 Er 2.76, 3 Y 2.78-2.84
8 P 0.7461 0.0000 0.2580  1 Zr 2.71, 2 Er 2.77, 3 Y 2.79-2.84

Results
V: 170.95 Å³/f.u.
Total magnetization: 0.000 μB/cell
Density: 5.44 g/cm3
Energy of formation: -1.559 eV per atom
N(E_F): 1.5 states/eV/cell
Final energy: -7.5187 eV per atom

---

MgTaTi2Cu: relaxed, GGA-PBE.

Cell lengths 4.7257, 4.7257, 4.2228 Å; angles 90.00, 90.00, 90.00 degrees
Closest atoms and distances in Å follow each position.
Element x y z (fractional)
1 Mg 0.0000 0.0000 0.0000  2 Cu 2.11, 4 Ti 2.36
2 Ta 0.5000 0.5000 0.5000  8 Ti 3.17, 4 Cu 3.34
3 Ti 0.0000 0.5000 0.0000  2 Mg 2.36
4 Ti 0.5000 0.0000 0.0000  2 Mg 2.36
5 Cu 0.0000 0.0000 0.5000  2 Mg 2.11

Results
V: 94.30 Å³/f.u.
Total magnetization: 2.188 μB/cell
Density: 6.42 g/cm3
Energy of formation: 1.327 eV per atom
N(E_F): 4.8 states/eV/cell
Final energy: -5.3395 eV per atom

---

VInSn2Se: relaxed, GGA-PBE.

Cell lengths 5.6944, 5.6944, 4.8511 Å; angles 90.00, 90.00, 90.00 degrees
Closest atoms and distances in Å follow each position.
Element x y z (fractional)
1 V 0.0000 0.0000 0.0000  2 Se 2.43
2 In 0.5000 0.5000 0.0000  8 Sn 3.74, 4 V 4.03
3 Sn 0.0000 0.5000 0.5000  2 Se 2.85
4 Sn 0.5000 0.0000 0.5000  2 Se 2.85
5 Se 0.0000 0.0000 0.5000  2 V 2.43

Results
V: 157.30 Å³/f.u.
Total magnetization: 0.073 μB/cell
Density: 5.09 g/cm3
N(E_F): 6.3 states/eV/cell
Final energy: -4.0710 eV per atom